No. 1
This record from Alexandria describes SiTe2HN after structural relaxation. The functional is PBE-GGA.

The value obtained for the volume is 16.41 Å³/atom. The total magnetization comes out at 0.000 μB per formula unit. The theoretical density comes out at 6.036 Mg/m³. The energy above the most stable polymorph in this dataset comes out at 378 meV/atom.

The space group is P4/mmm (No. 123) and the conventional cell measures 5.3312, 5.3312 and 2.8871 Å, with angles of 90.00, 90.00 and 90.00 degrees. The asymmetric unit holds Si at (0.0000, 0.0000, 0.0000), Te at (0.0000, 0.5000, 0.5000), H at (0.5000, 0.5000, 0.5000) and N at (0.5000, 0.5000, 0.0000).

=====

No. 2
This record from Alexandria describes Th6TeC3N2 after structural relaxation. The functional is PBE-GGA.

The value obtained for the volume is 21.54 Å³/atom. The total magnetization comes out at 0.000 μB per formula unit. The theoretical density comes out at 10.173 Mg/m³. The uncorrected formation energy is -0.718 eV per atom.

The space group is C2/m (No. 12) and the conventional cell measures 18.9904, 3.7527 and 7.7108 Å, with angles of 90.00, 109.79 and 90.00 degrees. The asymmetric unit holds Th at (0.0379, 0.0000, 0.2267), Th at (0.1724, 0.5000, 0.0532), Th at (0.1853, 0.5000, 0.5813), Te at (0.0000, 0.5000, 0.5000), C at (0.0000, 0.5000, 0.0000), C at (0.1777, 0.0000, 0.3074) and N at (0.1971, 0.0000, 0.8328).

=====

No. 3
This record from Alexandria describes SmTm6Cd after structural relaxation. The functional is PBE-GGA.

The value obtained for the volume is 29.84 Å³/atom. The value obtained for the formation energy from the elements is 0.064 eV per atom. The total magnetization comes out at 0.000 μB per formula unit. The theoretical density comes out at 8.877 Mg/m³.

The space group is R-3 (No. 148, hexagonal axes) and the conventional cell measures 9.1677, 9.1677 and 9.8423 Å, with angles of 90.00, 90.00 and 120.00 degrees. The asymmetric unit holds Sm at (0.0000, 0.0000, 0.0000), Tm at (0.0244, 0.7660, 0.7167) and Cd at (0.0000, 0.0000, 0.5000).

=====

No. 4
This record from Alexandria describes NiRh2Au after structural relaxation. The functional is PBE-GGA.

The value obtained for the volume is 14.53 Å³/atom. The value obtained for the formation energy from the elements is 0.131 eV per atom. The total magnetization comes out at 1.119 μB per formula unit. The theoretical density comes out at 13.186 Mg/m³. The energy above the most stable polymorph in this dataset comes out at 34 meV/atom.

The space group is Pmm2 (No. 25) and the conventional cell measures 2.7741, 3.7471 and 5.5908 Å, with angles of 90.00, 90.00 and 90.00 degrees. The asymmetric unit holds Ni at (0.0000, 0.0000, 0.0000), Rh at (0.0000, 0.0000, 0.5386), Rh at (0.5000, 0.5000, 0.7651) and Au at (0.5000, 0.5000, 0.2536).

=====

No. 5
This record from Alexandria describes Re2SbW2 after structural relaxation. The functional is PBE-GGA.

The value obtained for the volume is 19.65 Å³/atom. The total magnetization comes out at 0.000 μB per formula unit. The theoretical density comes out at 14.566 Mg/m³. The energy above the most stable polymorph in this dataset comes out at 124 meV/atom. The uncorrected formation energy is 0.633 eV per atom.

The space group is I4/mmm (No. 139) and the conventional cell measures 4.0631, 4.0631 and 11.9031 Å, with angles of 90.00, 90.00 and 90.00 degrees. The asymmetric unit holds Re at (0.0000, 0.5000, 0.2500), Sb at (0.0000, 0.0000, 0.0000) and W at (0.0000, 0.0000, 0.3797).

=====

No. 6
This record from Alexandria describes Ca2MgCu4Ge3 after structural relaxation. The functional is PBE-GGA.

The value obtained for the volume is 18.21 Å³/atom. The value obtained for the formation energy from the elements is -0.329 eV per atom. The total magnetization comes out at 0.000 μB per formula unit. The theoretical density comes out at 5.259 Mg/m³.

The space group is P-4m2 (No. 115) and the conventional cell measures 4.1905, 4.1905 and 10.3671 Å, with angles of 90.00, 90.00 and 90.00 degrees. The asymmetric unit holds Ca at (0.0000, 0.5000, 0.2350), Mg at (0.0000, 0.0000, 0.5000), Cu at (0.0000, 0.0000, 0.0000), Cu at (0.0000, 0.5000, 0.6420), Cu at (0.5000, 0.5000, 0.0000), Ge at (0.0000, 0.5000, 0.8719) and Ge at (0.5000, 0.5000, 0.5000).

=====

No. 7
This record from Alexandria describes Tm6CdPb after structural relaxation. The functional is PBE-GGA.

The value obtained for the volume is 28.52 Å³/atom. The value obtained for the formation energy from the elements is -0.195 eV per atom. The total magnetization comes out at 0.000 μB per formula unit. The theoretical density comes out at 9.703 Mg/m³. The energy above the most stable polymorph in this dataset comes out at 0 meV/atom.

The space group is I4/mmm (No. 139) and the conventional cell measures 5.0185, 5.0185 and 18.1194 Å, with angles of 90.00, 90.00 and 90.00 degrees. The asymmetric unit holds Tm at (0.0000, 0.0000, 0.2479), Tm at (0.0000, 0.5000, 0.1170), Cd at (0.0000, 0.0000, 0.0000) and Pb at (0.0000, 0.0000, 0.5000).

=====

No. 8
This record from Alexandria describes Pr2GaPt5 after structural relaxation. The functional is PBE-GGA.

The value obtained for the volume is 20.84 Å³/atom. The value obtained for the formation energy from the elements is -0.852 eV per atom. The total magnetization comes out at 0.000 μB per formula unit. The theoretical density comes out at 13.216 Mg/m³.

The space group is I4mm (No. 107) and the conventional cell measures 6.2822, 6.2822 and 8.4489 Å, with angles of 90.00, 90.00 and 90.00 degrees. The asymmetric unit holds Pr at (0.0000, 0.5000, 0.0000), Ga at (0.0000, 0.0000, 0.2192), Pt at (0.0000, 0.0000, 0.5208) and Pt at (0.2236, 0.2236, 0.7547).

=====

No. 9
This record from Alexandria describes Ba3Ag2Rh after structural relaxation. The functional is PBE-GGA.

The value obtained for the volume is 34.99 Å³/atom. The value obtained for the formation energy from the elements is -0.226 eV per atom. The total magnetization comes out at 0.000 μB per formula unit. The theoretical density comes out at 5.779 Mg/m³.

The space group is Pnma (No. 62) and the conventional cell measures 13.4922, 4.7073 and 13.2226 Å, with angles of 90.00, 90.00 and 90.00 degrees. The asymmetric unit holds Ba at (0.0494, 0.2500, 0.1303), Ba at (0.1132, 0.7500, 0.5501), Ba at (0.2335, 0.2500, 0.7942), Ag at (0.0176, 0.7500, 0.3121), Ag at (0.2016, 0.7500, 0.9906) and Rh at (0.1253, 0.2500, 0.3690).

=====

No. 10
This record from Alexandria describes Ac2PmRu after structural relaxation. The functional is PBE-GGA.

The value obtained for the volume is 36.64 Å³/atom. The value obtained for the formation energy from the elements is -0.144 eV per atom. The total magnetization comes out at 0.000 μB per formula unit. The theoretical density comes out at 7.931 Mg/m³. The energy above the most stable polymorph in this dataset comes out at 0 meV/atom.

The space group is Immm (No. 71) and the conventional cell measures 4.2874, 5.6521 and 12.0976 Å, with angles of 90.00, 90.00 and 90.00 degrees. The asymmetric unit holds Ac at (0.0000, 0.0000, 0.1638), Pm at (0.0000, 0.0000, 0.5000) and Ru at (0.0000, 0.5000, 0.5000).

=====

No. 11
This record from Alexandria describes NaLi2RuF6 after structural relaxation. The functional is PBE-GGA.

The value obtained for the volume is 11.95 Å³/atom. The total magnetization comes out at 1.000 μB per formula unit. The theoretical density comes out at 3.500 Mg/m³. The energy above the most stable polymorph in this dataset comes out at 0 meV/atom. The uncorrected formation energy is -2.354 eV per atom.

The space group is R3 (No. 146, hexagonal axes) and the conventional cell measures 5.3085, 5.3085 and 14.6920 Å, with angles of 90.00, 90.00 and 120.00 degrees. The asymmetric unit holds Na at (0.0000, 0.0000, 0.0000), Li at (0.0000, 0.0000, 0.2040), Li at (0.0000, 0.0000, 0.7215), Ru at (0.0000, 0.0000, 0.5122), F at (0.0066, 0.3360, 0.1057) and F at (0.0482, 0.6953, 0.2625).

=====

No. 12
This record from Alexandria describes Tb2PmNd3 after structural relaxation. The functional is PBE-GGA.

The value obtained for the volume is 33.96 Å³/atom. The value obtained for the formation energy from the elements is 0.016 eV per atom. The total magnetization comes out at 0.000 μB per formula unit. The theoretical density comes out at 7.299 Mg/m³. The energy above the most stable polymorph in this dataset comes out at 6 meV/atom.

The space group is Cmmm (No. 65) and the conventional cell measures 5.1458, 15.4139 and 5.1375 Å, with angles of 90.00, 90.00 and 90.00 degrees. The asymmetric unit holds Tb at (0.0000, 0.1672, 0.0000), Pm at (0.0000, 0.5000, 0.0000), Nd at (0.0000, 0.0000, 0.5000) and Nd at (0.0000, 0.3332, 0.5000).